[1]
LaYMo2 | PBE | optimized geometry

Lattice parameters (Å, degrees): 4.9622 4.9622 4.9622 120.33 120.33 89.43
Closest atoms and distances in Å follow each position.
Positions (direct):
1 La 0.7500 0.2500 0.5000  4 Mo 3.03, 4 Y 3.03
2 Mo 0.0000 0.0000 0.0000  4 La 3.03, 4 Mo 3.03
3 Mo 0.2500 0.7500 0.5000  4 Mo 3.03, 4 Y 3.03
4 Y 0.5000 0.5000 0.0000  4 La 3.03, 4 Mo 3.03

Output
Energy above the lowest structure with this stoichiometry   397 meV/atom
Calculated volume   86 Å³/cell
DFT formation energy   0.58 eV per atom



[2]
InFeRu4 | PBE | optimized geometry

Lattice parameters (Å, degrees): 5.1312 5.1312 5.1312 60.00 60.00 60.00
Closest atoms and distances in Å follow each position.
Positions (direct):
1 In 0.0000 0.0000 0.0000  12 Ru 3.01, 4 Fe 3.14
2 Fe 0.7500 0.7500 0.7500  12 Ru 3.01, 4 In 3.14
3 Ru 0.8746 0.3751 0.3751  6 Ru 2.56-2.57
4 Ru 0.3751 0.3751 0.8746  6 Ru 2.56-2.57
5 Ru 0.3751 0.8746 0.3751  6 Ru 2.56-2.57
6 Ru 0.3751 0.3751 0.3751  6 Ru 2.56-2.57

Output
Calculated volume   96 Å³/cell
DFT formation energy   0.49 eV per atom



[3]
Zr2CrMo2 | PBE | optimized geometry

Lattice parameters (Å, degrees): 7.1362 7.1362 3.6725 90.00 90.00 90.00
Closest atoms and distances in Å follow each position.
Positions (direct):
1 Cr 0.0000 0.0000 0.0000  4 Zr 2.71
2 Cr 0.5000 0.5000 0.0000  4 Zr 2.71
3 Mo 0.1554 0.6554 0.5000  6 Zr 2.67-2.86
4 Mo 0.6554 0.8446 0.5000  6 Zr 2.67-2.86
5 Mo 0.8446 0.3446 0.5000  6 Zr 2.67-2.86
6 Mo 0.3446 0.1554 0.5000  6 Zr 2.67-2.86
7 Zr 0.3473 0.8473 0.0000  6 Mo 2.67-2.86, 2 Cr 2.71
8 Zr 0.8473 0.6527 0.0000  6 Mo 2.67-2.86, 2 Cr 2.71
9 Zr 0.6527 0.1527 0.0000  6 Mo 2.67-2.86, 2 Cr 2.71
10 Zr 0.1527 0.3473 0.0000  6 Mo 2.67-2.86, 2 Cr 2.71

Output
Energy above the lowest structure with this stoichiometry   569 meV/atom
Calculated volume   187 Å³/cell
DFT formation energy   0.82 eV per atom



[4]
Tc3BBr | PBE | optimized geometry

Lattice parameters (Å, degrees): 4.2023 4.2023 4.2023 90.00 90.00 90.00
Closest atoms and distances in Å follow each position.
Positions (direct):
1 B 0.0000 0.0000 0.0000  6 Tc 2.10
2 Tc 0.0000 0.5000 0.0000  2 B 2.10
3 Tc 0.0000 0.0000 0.5000  2 B 2.10
4 Tc 0.5000 0.0000 0.0000  2 B 2.10
5 Br 0.5000 0.5000 0.5000  12 Tc 2.97

Output
Energy above the lowest structure with this stoichiometry   0 meV/atom
Calculated volume   74 Å³/cell
Formation energy (no corrections)   4.37 eV/f.u.



[5]
Te2PRhI | PBE | optimized geometry

Lattice parameters (Å, degrees): 5.2485 5.2485 5.2116 90.00 90.00 90.00
Closest atoms and distances in Å follow each position.
Positions (direct):
1 I 0.0000 0.0000 0.5000  2 P 2.61
2 P 0.0000 0.0000 0.0000  2 I 2.61, 4 Te 2.62
3 Te 0.0000 0.5000 0.0000  2 P 2.62
4 Te 0.5000 0.0000 0.0000  2 P 2.62
5 Rh 0.5000 0.5000 0.5000  8 Te 3.70, 4 I 3.71

Output
Energy above the lowest structure with this stoichiometry   273 meV/atom
Calculated volume   144 Å³/cell
Formation energy (no corrections)   4.98 eV/f.u.



[6]
Ac2PmTe4 | PBE | optimized geometry

Lattice parameters (Å, degrees): 4.4040 7.9720 8.6109 69.63 75.18 73.97
Closest atoms and distances in Å follow each position.
Positions (direct):
1 Ac 0.3598 0.5757 0.7047  7 Te 3.32-3.51
2 Ac 0.6402 0.4243 0.2953  7 Te 3.32-3.51
3 Pm 0.0000 0.0000 0.0000  6 Te 3.14-3.15
4 Te 0.0599 0.2549 0.6252  1 Pm 3.15, 4 Ac 3.46-3.51
5 Te 0.9401 0.7451 0.3748  1 Pm 3.15, 4 Ac 3.46-3.51
6 Te 0.3316 0.2509 0.0858  2 Pm 3.14, 3 Ac 3.32-3.40
7 Te 0.6684 0.7491 0.9142  2 Pm 3.14, 3 Ac 3.32-3.40

Output
Energy above the lowest structure with this stoichiometry   0 meV/atom
Calculated volume   268 Å³/cell
Formation energy (no corrections)   -10.52 eV/f.u.



calculated volume of number 3 (Zr2CrMo2)?
187 Å³/cell



Among the records above, which one has the lowest calculated volume?
Tc3BBr



What is the calculated volume in the fifth record?
144 Å³/cell



calculated volume of number 3 (Zr2CrMo2)?
187 Å³/cell